Here is crystalline VFe2AsPd at its relaxed geometry from the Alexandria database. Energies are from PBE.

The value obtained for the energy of formation from the pure elements is 736 meV per atom.

The space group is P4/mmm (No. 123) and the conventional cell measures 4.353, 4.353 and 4.559 Å, with angles of 90.00, 90.00 and 90.00 degrees. The distinct sites, in fractional coordinates, are V at (0.000, 0.000, 0.000), Fe at (0.000, 0.500, 0.500), As at (0.000, 0.000, 0.500) and Pd at (0.500, 0.500, 0.000).